# 1
The following is a DFT calculation (GGA-PBE) of Ca3ErTm2Te6 after structural relaxation.

Values from the calculation:
Fermi-level density of states, states/eV per cell: 10.3

Lattice parameters (Å, degrees): 19.280 4.368 8.853 90.00 104.46 90.00
Space group C2/m (No. 12)
One atom of each set of equivalent atoms:
Ca: 0.000 0.000 0.000 x2
Ca: 0.166 0.500 0.333 x4
Er: 0.000 0.000 0.500 x2
Tm: 0.166 0.500 0.831 x4
Te: 0.002 0.500 0.746 x4
Te: 0.165 0.000 0.588 x4
Te: 0.169 0.000 0.077 x4


# 2
The following is a DFT calculation (GGA-PBE) of CaYEr4Te8 after structural relaxation.

Values from the calculation:
Fermi-level density of states, states/eV per cell: 13.8

Lattice parameters (Å, degrees): 9.0409 9.0409 22.2028 90.00 90.00 120.00
Space group R3m (No. 160, hexagonal axes)
One atom of each set of equivalent atoms:
Ca: 0.0000 0.0000 0.0000 x3
Y: 0.0000 0.0000 0.6280 x3
Er: 0.0000 0.0000 0.2510 x3
Er: 0.1694 0.3387 0.4583 x9
Te: 0.0000 0.0000 0.3839 x3
Te: 0.0000 0.0000 0.8653 x3
Te: 0.0249 0.5125 0.3800 x9
Te: 0.1766 0.3532 0.2058 x9


# 3
The following is a DFT calculation (GGA-PBE) of Ca3Y3ErTe8 after structural relaxation.

Values from the calculation:
Fermi-level density of states, states/eV per cell: 14.3

Lattice parameters (Å, degrees): 8.7552 8.7552 22.0212 90.00 90.00 120.00
Space group R-3m (No. 166, hexagonal axes)
One atom of each set of equivalent atoms:
Ca: 0.0000 0.5000 0.0000 x9
Y: 0.0000 0.5000 0.5000 x9
Er: 0.0000 0.0000 0.5000 x3
Te: 0.0000 0.0000 0.2484 x6
Te: 0.0015 0.5007 0.7520 x18


ΔE_f (raw): -1.4098; -1.3032; -1.4926 (eV/atom)